[1]
Computed, not measured: NpTc2 after structural relaxation at the PBE level of DFT.

Calculated values
magnetization = 0.918 μB per atom
energy of formation = 192 meV per atom
ρ = 13425 kg/m³
calculated total energy = -11.033 eV/atom

Lattice parameters (Å, degrees): 7.5389 7.5389 7.5389 90.00 90.00 90.00
Last column: nearest neighbours and their distance in Å.
Space group Fd-3m (No. 227, origin choice 2)
Inequivalent atoms, fractional coordinates:
Np  0.1250  0.1250  0.1250 [8 per cell]  12 Tc 3.13, 4 Np 3.26
Tc  0.0000  0.0000  0.5000 [16 per cell]  6 Tc 2.67

[2]
Computed, not measured: YSc2In after structural relaxation at the PBE level of DFT.

Calculated values
magnetization = 0.000 μB per atom
energy of formation = -129 meV per atom
ρ = 4772 kg/m³
calculated total energy = -5.595 eV/atom

Lattice parameters (Å, degrees): 6.4479 10.6626 3.2330 90.00 113.16 90.00
Last column: nearest neighbours and their distance in Å.
Space group C2/m (No. 12)
Inequivalent atoms, fractional coordinates:
Y  0.0000  0.0000  0.0000 [2 per cell]  4 Sc 3.20, 4 In 3.22-3.56, 2 Y 3.23
Sc  0.2500  0.2500  0.5000 [4 per cell]  2 In 3.20, 2 Y 3.20, 6 Sc 3.22-3.56
In  0.0000  0.5000  0.0000 [2 per cell]  4 Sc 3.20, 4 Y 3.22-3.56, 2 In 3.23